1.
# CaIn3Pb, optimized geometry, DFT GGA-PBE
data_CaIn3Pb
_space_group_name_H-M_alt 'P 1'
_space_group_IT_number 1
_space_group_name_Hall 'P 1'
_cell_length_a 5.831
_cell_length_b 5.831
_cell_length_c 5.831
_cell_angle_alpha 90.00
_cell_angle_beta 90.00
_cell_angle_gamma 90.00
loop_
_atom_site_label
_atom_site_type_symbol
_atom_site_fract_x
_atom_site_fract_y
_atom_site_fract_z
Pb1 Pb 0.000 0.000 0.000
Ca1 Ca 0.500 0.500 0.500
In1 In 0.000 0.500 0.000
In2 In 0.000 0.000 0.500
In3 In 0.500 0.000 0.000
# DFT formation energy   329.5 meV/atom

2.
First-principles (GGA-PBE) data for a relaxed structure of Th2SbAs3Rh4, as listed in Alexandria via LeMat-Bulk.

Geometry as CIF:
```
data_Th2SbAs3Rh4
_space_group_name_H-M_alt 'P 1'
_space_group_IT_number 1
_space_group_name_Hall 'P 1'
_cell_length_a 4.200
_cell_length_b 4.200
_cell_length_c 10.919
_cell_angle_alpha 90.00
_cell_angle_beta 90.00
_cell_angle_gamma 90.00
loop_
_atom_site_label
_atom_site_type_symbol
_atom_site_fract_x
_atom_site_fract_y
_atom_site_fract_z
Th1 Th 0.500 0.000 0.233
Th2 Th 0.000 0.500 0.767
Sb1 Sb 0.500 0.500 0.500
As1 As 0.000 0.000 0.500
As2 As 0.500 0.000 0.868
As3 As 0.000 0.500 0.132
Rh1 Rh 0.500 0.500 0.000
Rh2 Rh 0.000 0.000 0.000
Rh3 Rh 0.500 0.000 0.648
Rh4 Rh 0.000 0.500 0.352
```

3.
# AcYBi, optimized geometry, DFT GGA-PBE
data_AcYBi
_space_group_name_H-M_alt 'P 1'
_space_group_IT_number 1
_space_group_name_Hall 'P 1'
_cell_length_a 4.793
_cell_length_b 4.793
_cell_length_c 9.236
_cell_angle_alpha 90.00
_cell_angle_beta 90.00
_cell_angle_gamma 90.00
loop_
_atom_site_label
_atom_site_type_symbol
_atom_site_fract_x
_atom_site_fract_y
_atom_site_fract_z
Ac1 Ac 0.814 0.867 0.570
Ac2 Ac 0.314 0.366 0.269
Y1 Y 0.814 0.366 0.920
Y2 Y 0.314 0.866 0.920
Bi1 Bi 0.814 0.866 0.178
Bi2 Bi 0.314 0.366 0.661
# DFT formation energy   -648.7 meV/atom

4.
# Ba2NaTlPd6, optimized geometry, DFT GGA-PBE
data_Ba2NaTlPd6
_space_group_name_H-M_alt 'P 1'
_space_group_IT_number 1
_space_group_name_Hall 'P 1'
_cell_length_a 7.137
_cell_length_b 7.137
_cell_length_c 7.137
_cell_angle_alpha 60.00
_cell_angle_beta 60.00
_cell_angle_gamma 90.00
loop_
_atom_site_label
_atom_site_type_symbol
_atom_site_fract_x
_atom_site_fract_y
_atom_site_fract_z
Ba1 Ba 0.250 0.750 0.500
Ba2 Ba 0.750 0.250 0.500
Na1 Na 0.000 0.000 0.000
Tl1 Tl 0.500 0.500 0.000
Pd1 Pd 0.242 0.758 0.000
Pd2 Pd 0.758 0.758 0.000
Pd3 Pd 0.242 0.242 0.515
Pd4 Pd 0.758 0.242 0.000
Pd5 Pd 0.242 0.242 0.000
Pd6 Pd 0.758 0.758 0.485
# DFT formation energy   73.2 meV/atom

5.
First-principles (GGA-PBE) data for a relaxed structure of Th2NbCrN5, as listed in Alexandria via LeMat-Bulk.

Geometry as CIF:
```
data_Th2NbCrN5
_space_group_name_H-M_alt 'P 1'
_space_group_IT_number 1
_space_group_name_Hall 'P 1'
_cell_length_a 3.358
_cell_length_b 7.123
_cell_length_c 10.110
_cell_angle_alpha 90.00
_cell_angle_beta 90.00
_cell_angle_gamma 103.63
loop_
_atom_site_label
_atom_site_type_symbol
_atom_site_fract_x
_atom_site_fract_y
_atom_site_fract_z
Th1 Th 0.863 0.726 0.816
Th2 Th 0.122 0.243 0.684
Th3 Th 0.137 0.274 0.316
Th4 Th 0.878 0.757 0.184
Nb1 Nb 0.806 0.612 0.509
Nb2 Nb 0.194 0.388 0.009
Cr1 Cr 0.550 0.100 0.955
Cr2 Cr 0.450 0.900 0.455
N1 N 0.348 0.696 0.004
N2 N 0.683 0.366 0.867
N3 N 0.500 0.001 0.791
N4 N 0.297 0.593 0.660
N5 N 0.964 0.928 0.539
N6 N 0.652 0.304 0.504
N7 N 0.317 0.634 0.367
N8 N 0.500 0.999 0.291
N9 N 0.703 0.407 0.160
N10 N 0.036 0.072 0.039
```

6.
First-principles (GGA-PBE) data for a relaxed structure of Rb3Hg2O, as listed in Alexandria via LeMat-Bulk.

Geometry as CIF:
```
data_Rb3Hg2O
_space_group_name_H-M_alt 'P 1'
_space_group_IT_number 1
_space_group_name_Hall 'P 1'
_cell_length_a 8.928
_cell_length_b 8.928
_cell_length_c 7.406
_cell_angle_alpha 90.00
_cell_angle_beta 90.00
_cell_angle_gamma 120.00
loop_
_atom_site_label
_atom_site_type_symbol
_atom_site_fract_x
_atom_site_fract_y
_atom_site_fract_z
Rb1 Rb 0.736 0.868 0.250
Rb2 Rb 0.132 0.264 0.250
Rb3 Rb 0.132 0.868 0.250
Rb4 Rb 0.264 0.132 0.750
Rb5 Rb 0.868 0.736 0.750
Rb6 Rb 0.868 0.132 0.750
Hg1 Hg 0.333 0.667 0.958
Hg2 Hg 0.667 0.333 0.458
Hg3 Hg 0.667 0.333 0.042
Hg4 Hg 0.333 0.667 0.542
O1 O 0.000 0.000 0.000
O2 O 0.000 0.000 0.500
```

7.
First-principles (GGA-PBE) data for a relaxed structure of CaMnAs2Br, as listed in Alexandria via LeMat-Bulk.

Geometry as CIF:
```
data_CaMnAs2Br
_space_group_name_H-M_alt 'P 1'
_space_group_IT_number 1
_space_group_name_Hall 'P 1'
_cell_length_a 4.543
_cell_length_b 4.543
_cell_length_c 5.542
_cell_angle_alpha 90.00
_cell_angle_beta 90.00
_cell_angle_gamma 90.00
loop_
_atom_site_label
_atom_site_type_symbol
_atom_site_fract_x
_atom_site_fract_y
_atom_site_fract_z
As1 As 0.000 0.500 0.000
As2 As 0.500 0.000 0.000
Mn1 Mn 0.000 0.000 0.000
Ca1 Ca 0.500 0.500 0.500
Br1 Br 0.000 0.000 0.500
```

8.
First-principles (GGA-PBE) data for a relaxed structure of Ho2ZnSi3Ni4, as listed in Alexandria via LeMat-Bulk.

Geometry as CIF:
```
data_Ho2ZnSi3Ni4
_space_group_name_H-M_alt 'P 1'
_space_group_IT_number 1
_space_group_name_Hall 'P 1'
_cell_length_a 3.976
_cell_length_b 3.976
_cell_length_c 9.567
_cell_angle_alpha 90.00
_cell_angle_beta 90.00
_cell_angle_gamma 90.00
loop_
_atom_site_label
_atom_site_type_symbol
_atom_site_fract_x
_atom_site_fract_y
_atom_site_fract_z
Ho1 Ho 0.500 0.000 0.248
Ho2 Ho 0.000 0.500 0.752
Zn1 Zn 0.500 0.500 0.500
Si1 Si 0.000 0.000 0.500
Si2 Si 0.500 0.000 0.873
Si3 Si 0.000 0.500 0.127
Ni1 Ni 0.500 0.500 0.000
Ni2 Ni 0.000 0.000 0.000
Ni3 Ni 0.500 0.000 0.637
Ni4 Ni 0.000 0.500 0.363
```

9.
First-principles (GGA-PBE) data for a relaxed structure of Te2PbIN, as listed in Alexandria via LeMat-Bulk.

Geometry as CIF:
```
data_Te2PbIN
_space_group_name_H-M_alt 'P 1'
_space_group_IT_number 1
_space_group_name_Hall 'P 1'
_cell_length_a 6.086
_cell_length_b 6.086
_cell_length_c 4.004
_cell_angle_alpha 90.00
_cell_angle_beta 90.00
_cell_angle_gamma 90.00
loop_
_atom_site_label
_atom_site_type_symbol
_atom_site_fract_x
_atom_site_fract_y
_atom_site_fract_z
Pb1 Pb 0.500 0.500 0.500
I1 I 0.000 0.000 0.000
Te1 Te 0.000 0.500 0.000
Te2 Te 0.500 0.000 0.000
N1 N 0.000 0.000 0.500
```

10.
# AcLaDyTm, optimized geometry, DFT GGA-PBE
data_AcLaDyTm
_space_group_name_H-M_alt 'P 1'
_space_group_IT_number 1
_space_group_name_Hall 'P 1'
_cell_length_a 5.879
_cell_length_b 5.879
_cell_length_c 5.879
_cell_angle_alpha 60.00
_cell_angle_beta 60.00
_cell_angle_gamma 60.00
loop_
_atom_site_label
_atom_site_type_symbol
_atom_site_fract_x
_atom_site_fract_y
_atom_site_fract_z
Ac1 Ac 0.500 0.500 0.500
Tm1 Tm 0.250 0.250 0.250
La1 La 0.000 0.000 0.000
Dy1 Dy 0.750 0.750 0.750
# DFT formation energy   90.3 meV/atom

11.
# BaY2Tl9, optimized geometry, DFT GGA-PBE
data_BaY2Tl9
_space_group_name_H-M_alt 'P 1'
_space_group_IT_number 1
_space_group_name_Hall 'P 1'
_cell_length_a 4.902
_cell_length_b 4.902
_cell_length_c 14.612
_cell_angle_alpha 90.00
_cell_angle_beta 90.00
_cell_angle_gamma 90.00
loop_
_atom_site_label
_atom_site_type_symbol
_atom_site_fract_x
_atom_site_fract_y
_atom_site_fract_z
Ba1 Ba 0.000 0.000 0.000
Y1 Y 0.000 0.000 0.347
Y2 Y 0.000 0.000 0.653
Tl1 Tl 0.500 0.500 0.000
Tl2 Tl 0.500 0.500 0.336
Tl3 Tl 0.500 0.500 0.664
Tl4 Tl 0.500 0.000 0.181
Tl5 Tl 0.500 0.000 0.500
Tl6 Tl 0.500 0.000 0.819
Tl7 Tl 0.000 0.500 0.181
Tl8 Tl 0.000 0.500 0.500
Tl9 Tl 0.000 0.500 0.819
# DFT formation energy   -247.4 meV/atom

12.
# GdErGaPd, optimized geometry, DFT GGA-PBE
data_GdErGaPd
_space_group_name_H-M_alt 'P 1'
_space_group_IT_number 1
_space_group_name_Hall 'P 1'
_cell_length_a 5.027
_cell_length_b 5.027
_cell_length_c 5.027
_cell_angle_alpha 60.00
_cell_angle_beta 60.00
_cell_angle_gamma 60.00
loop_
_atom_site_label
_atom_site_type_symbol
_atom_site_fract_x
_atom_site_fract_y
_atom_site_fract_z
Gd1 Gd 0.500 0.500 0.500
Ga1 Ga 0.250 0.250 0.250
Pd1 Pd 0.750 0.750 0.750
Er1 Er 0.000 0.000 0.000
# DFT formation energy   -699.8 meV/atom

| no. | calculated total energy (eV per atom) | mass density (g cm⁻³) |
| --- | --- | --- |
| 1 | -2.456 | 5.0 |
| 2 | -7.112 | 10.5 |
| 3 | -5.467 | 8.2 |
| 4 | -3.796 | 7.4 |
| 5 | -9.650 | 9.6 |
| 6 | -1.961 | 4.4 |
| 7 | -4.737 | 4.7 |
| 8 | -5.722 | 7.8 |
| 9 | -3.047 | 6.8 |
| 10 | -4.437 | 8.1 |
| 11 | -3.260 | 10.2 |
| 12 | -7.416 | 9.3 |